1.
The following is a DFT calculation (PBE) of crystalline BaMg4Sn2 at its relaxed geometry.

Values from the calculation:
- Total moment: 0.00 μB/f.u.
- Energy of formation: -0.34 eV/atom
- Space group: P4_2/mnm
- VASP energy: -2.67 eV per atom

Cell lengths 4.703, 9.109, 9.109 Å; angles 90.00, 90.00, 90.00 degrees
Positions (direct):
Sn: 0.000 0.785 0.215
Mg: 0.000 0.087 0.342
Ba: 0.500 0.000 0.000
Sn: 0.000 0.215 0.785
Mg: 0.500 0.587 0.158
Ba: 0.000 0.500 0.500
Mg: 0.500 0.413 0.842
Mg: 0.500 0.842 0.413
Mg: 0.000 0.913 0.658
Mg: 0.000 0.342 0.087
Sn: 0.500 0.715 0.715
Mg: 0.000 0.658 0.913
Sn: 0.500 0.285 0.285
Mg: 0.500 0.158 0.587


2.
The following is a DFT calculation (PBE) of crystalline BaMg2Sn2 at its relaxed geometry.

Values from the calculation:
- Total moment: 0.00 μB/f.u.
- Energy of formation: -0.30 eV/atom
- Space group: P4/mbm
- VASP energy: -2.93 eV per atom

Cell lengths 8.970, 8.970, 3.459 Å; angles 90.00, 90.00, 90.00 degrees
Positions (direct):
Ba: 0.500 0.500 0.000
Mg: 0.622 0.122 0.000
Sn: 0.333 0.167 0.500
Mg: 0.378 0.878 0.000
Sn: 0.167 0.667 0.500
Sn: 0.667 0.833 0.500
Sn: 0.833 0.333 0.500
Mg: 0.122 0.378 0.000
Mg: 0.878 0.622 0.000
Ba: 0.000 0.000 0.000


3.
The following is a DFT calculation (PBE) of crystalline Ba2MgSn2 at its relaxed geometry.

Values from the calculation:
- Total moment: 0.37 μB/f.u.
- Energy of formation: -0.49 eV/atom
- Space group: P4/mbm
- Energy above the most stable polymorph in this dataset: 0 meV per atom
- VASP energy: -3.18 eV per atom

Cell lengths 8.177, 8.177, 5.459 Å; angles 90.00, 90.00, 90.00 degrees
Positions (direct):
Ba: 0.833 0.333 0.500
Sn: 0.369 0.869 0.000
Sn: 0.869 0.631 0.000
Sn: 0.631 0.131 0.000
Ba: 0.667 0.833 0.500
Ba: 0.167 0.667 0.500
Sn: 0.131 0.369 0.000
Mg: 0.500 0.500 0.000
Ba: 0.333 0.167 0.500
Mg: 0.000 0.000 0.000


4.
The following is a DFT calculation (PBE) of crystalline Ba2MgSn2 at its relaxed geometry.

Values from the calculation:
- Total moment: 0.00 μB/f.u.
- Energy of formation: -0.45 eV/atom
- Space group: Ibam
- Energy above the most stable polymorph in this dataset: 36 meV per atom
- VASP energy: -3.14 eV per atom

Cell lengths 7.047, 7.648, 8.997 Å; angles 115.15, 113.06, 90.00 degrees
Positions (direct):
Mg: 0.250 0.500 0.000
Ba: 0.142 0.334 0.284
Sn: 0.111 0.827 0.222
Sn: 0.611 0.395 0.222
Ba: 0.358 0.050 0.716
Ba: 0.858 0.666 0.716
Sn: 0.889 0.173 0.778
Sn: 0.389 0.605 0.778
Ba: 0.642 0.950 0.284
Mg: 0.750 0.500 0.000


5.
The following is a DFT calculation (PBE) of crystalline BaMg3Sn at its relaxed geometry.

Values from the calculation:
- Total moment: 0.00 μB/f.u.
- Energy of formation: 0.09 eV/atom
- Space group: Pm-3m
- Energy above the most stable polymorph in this dataset: 0 meV per atom
- VASP energy: -2.05 eV per atom

Cell lengths 5.629, 5.629, 5.629 Å; angles 90.00, 90.00, 90.00 degrees
Positions (direct):
Ba: 0.500 0.500 0.500
Mg: 0.000 0.000 0.500
Sn: 0.000 0.000 0.000
Mg: 0.500 0.000 0.000
Mg: 0.000 0.500 0.000


6.
The following is a DFT calculation (PBE) of crystalline BaMg3Sn at its relaxed geometry.

Values from the calculation:
- Total moment: 0.00 μB/f.u.
- Energy of formation: 1.11 eV/atom
- Space group: Pm-3m
- Energy above the most stable polymorph in this dataset: 1017 meV per atom
- VASP energy: -1.03 eV per atom

Cell lengths 6.140, 6.140, 6.140 Å; angles 90.00, 90.00, 90.00 degrees
Positions (direct):
Mg: 0.000 0.500 0.000
Mg: 0.500 0.000 0.000
Sn: 0.500 0.500 0.500
Ba: 0.000 0.000 0.000
Mg: 0.000 0.000 0.500


7.
The following is a DFT calculation (PBE) of crystalline Ba3Mg3Sn8 at its relaxed geometry.

Values from the calculation:
- Total moment: 0.00 μB/f.u.
- Energy of formation: -0.37 eV/atom
- Space group: Immm
- VASP energy: -3.41 eV per atom

Cell lengths 4.797, 9.953, 9.953 Å; angles 72.92, 76.06, 76.06 degrees
Positions (direct):
Sn: 0.364 0.336 0.935
Mg: 0.500 0.000 0.000
Sn: 0.636 0.664 0.065
Sn: 0.849 0.509 0.794
Mg: 0.000 0.809 0.191
Sn: 0.151 0.491 0.206
Ba: 0.500 0.500 0.500
Sn: 0.849 0.794 0.509
Sn: 0.364 0.935 0.336
Mg: 0.000 0.191 0.809
Ba: 0.795 0.205 0.205
Sn: 0.636 0.065 0.664
Ba: 0.205 0.795 0.795
Sn: 0.151 0.206 0.491


8.
The following is a DFT calculation (PBE) of crystalline BaMg2Sn2 at its relaxed geometry.

Values from the calculation:
- Total moment: 0.00 μB/f.u.
- Energy of formation: -0.49 eV/atom
- Space group: P4/nmm
- VASP energy: -3.11 eV per atom

Cell lengths 4.913, 4.913, 12.269 Å; angles 90.00, 90.00, 90.00 degrees
Positions (direct):
Ba: 0.750 0.750 0.749
Mg: 0.750 0.250 0.000
Sn: 0.750 0.750 0.135
Ba: 0.250 0.250 0.251
Mg: 0.250 0.750 0.000
Sn: 0.750 0.250 0.500
Sn: 0.250 0.750 0.500
Mg: 0.750 0.750 0.365
Sn: 0.250 0.250 0.865
Mg: 0.250 0.250 0.635